Record 1
Computed, not measured: a relaxed KSrCr2 crystal at the PBE level of DFT.

```
4
Lattice="-0.3020 -3.6551 0.0027 0.7196 -0.0569 3.3556 -8.8677 0.7367 5.4136" Properties=species:S:1:pos:R:3 pbc="T T T"
Cr -1.2560 -1.7347 1.9950
Cr -0.0285 0.0050 3.5177
Sr -7.0513 -1.2523 6.7496
K -3.4687 0.2898 4.2499
```

Calculated values
Energy above the lowest structure with this stoichiometry (eV per atom): 0.000
Energy of formation (eV per formula unit): 2.72
Space-group type: Pm

=====

Record 2
Computed, not measured: a relaxed Ca2ErZrAs4 crystal at the PBE level of DFT.

```
8
Lattice="4.0380 0.0000 0.0000 0.0000 7.0345 0.1331 0.0000 -2.4487 6.8272" Properties=species:S:1:pos:R:3 pbc="T T T"
As 0.0000 4.7332 1.6833
As 2.0190 3.4984 5.3756
As 2.0190 1.0873 1.5847
As 0.0000 -0.1475 5.2770
Ca 0.0000 2.2929 3.4801
Ca 2.0190 -1.2244 3.4136
Zr 0.0000 0.0000 0.0000
Er 2.0190 3.5172 0.0666
```

Calculated values
Energy of formation (eV per formula unit): -9.57
Space-group type: P2/m

=====

Record 3
Computed, not measured: a relaxed KB2P2 crystal at the PBE level of DFT.

```
5
Lattice="3.5124 0.3884 -0.1685 -0.3663 3.5147 -0.1685 -1.2914 -1.6021 6.8857" Properties=species:S:1:pos:R:3 pbc="T T T"
P 1.6682 2.0697 2.1078
P 0.1865 0.2314 4.4408
K 0.0000 0.0000 0.0000
B 1.8971 0.3689 3.2743
B -0.0424 1.9321 3.2743
```

Calculated values
Energy of formation (eV per formula unit): 0.74
Space-group type: Fmmm

=====

Record 4
Computed, not measured: a relaxed TmScTeAs crystal at the PBE level of DFT.

```
4
Lattice="-2.7773 -2.2243 -1.8605 3.4375 -1.6832 1.2136 -2.2298 0.5213 7.0385" Properties=species:S:1:pos:R:3 pbc="T T T"
Sc 2.7899 -1.8110 1.5149
Te -2.1589 -2.5897 1.1684
Tm -2.3219 -0.9962 3.8393
As -0.9356 -1.1715 6.3117
```

Calculated values
Formation energy from raw total energies (eV per atom): -1.345
Space-group type: R3m

=====

Record 5
Computed, not measured: a relaxed Ti2BiB crystal at the PBE level of DFT.

```
8
Lattice="-5.4057 -4.1967 0.1768 0.9226 -1.4674 -6.6227 -0.4433 -5.1166 -2.4662" Properties=species:S:1:pos:R:3 pbc="T T T"
Bi -4.0453 -6.0726 -2.7562
Bi 0.0000 0.0000 0.0000
Ti -0.6637 -3.0731 -4.7188
Ti -1.9362 -6.0846 -4.8228
Ti -2.9203 -3.7332 -1.3487
Ti -4.3326 -8.6703 -6.9339
B -2.2416 -2.8320 -3.2229
B -0.8811 -4.7080 -6.1559
```

Calculated values
Energy above the lowest structure with this stoichiometry (eV per atom): 0.000
Energy of formation (eV per formula unit): 0.40
Space-group type: I-42d

=====

Record 6
Computed, not measured: a relaxed SrCaCu3 crystal at the PBE level of DFT.

```
10
Lattice="-3.4422 -0.2380 -2.4376 -0.2821 -4.1666 0.8052 -5.6911 2.5969 11.4437" Properties=species:S:1:pos:R:3 pbc="T T T"
Cu -7.1148 1.3132 9.9186
Cu -3.7376 -2.6406 1.8749
Cu -4.3369 -0.3098 2.4936
Cu -2.3006 -3.1209 -0.1074
Cu -5.6778 0.8329 7.9364
Cu -5.0785 -1.4979 7.3177
Ca -3.2413 -2.1121 4.7832
Ca -6.1741 0.3044 5.0280
Sr -1.1435 -0.6829 1.6815
Sr -8.2718 -1.1248 8.1298
```

Calculated values
Energy above the lowest structure with this stoichiometry (eV per atom): 0.000
Energy of formation (eV per formula unit): -0.52
Space-group type: Cmcm

=====

Record 7
Computed, not measured: a relaxed Hf2MgSb crystal at the PBE level of DFT.

```
8
Lattice="-7.4791 -0.5678 2.5684 1.4460 -7.3542 2.5847 -2.1858 -2.8621 5.2386" Properties=species:S:1:pos:R:3 pbc="T T T"
Hf -0.5016 -5.3771 3.2201
Hf -6.9036 -9.1530 8.4642
Hf -5.1161 -1.9954 3.2641
Hf -3.9165 -5.0426 5.8351
Mg -3.0166 -3.9610 2.5766
Mg -1.8782 -7.0886 5.1999
Sb -6.3407 -3.6954 5.1918
Sb 0.0000 0.0000 0.0000
```

Calculated values
Energy above the lowest structure with this stoichiometry (eV per atom): 0.145
Formation energy from raw total energies (eV per atom): 0.171
Space-group type: I-42d

=====

Record 8
Computed, not measured: a relaxed In4MoCl crystal at the PBE level of DFT.

```
6
Lattice="0.0000 4.2031 4.2031 4.2031 0.0000 4.2031 4.2031 4.2031 0.0000" Properties=species:S:1:pos:R:3 pbc="T T T"
In 3.1545 3.1545 3.1545
In 5.2517 3.1545 5.2517
In 5.2517 5.2517 3.1545
In 3.1545 5.2517 5.2517
Mo 6.3047 6.3047 6.3047
Cl 0.0000 0.0000 0.0000
```

Calculated values
Formation energy from raw total energies (eV per atom): 0.534
Space-group type: F-43m

=====

Calculated V (Å³/f.u.), listed in the same order as above: 123.8, 195.2, 84.3, 98.1, 70.4, 115.6, 94.2, 148.5